# Fe2SnH6

An optimized crystal structure of Fe2SnH6 (PBE-GGA, the Open Quantum Materials Database). Values from VASP.

Output
V = 6.80 Å³/atom
energy = -3.6494 eV per atom

```
&SYSTEM
  ibrav = 0, nat = 9, ntyp = 3
/
ATOMIC_SPECIES
Fe 55.84 Fe.upf
Sn 118.71 Sn.upf
H 1.01 H.upf
ATOMIC_POSITIONS angstrom
Fe 1.564 1.564 1.564
Fe 4.692 4.692 4.692
Sn 0.000 0.000 0.000
H 3.128 3.128 2.128
H 3.128 2.128 3.128
H 4.129 3.128 3.128
H 2.128 3.128 3.128
H 3.128 4.129 3.128
H 3.128 3.128 4.129
CELL_PARAMETERS angstrom
0.000 3.128 3.128
3.128 0.000 3.128
3.128 3.128 0.000
```

=====

# RbNiSb

An optimized crystal structure of RbNiSb (PBE-GGA, the Open Quantum Materials Database). Values from VASP.

Output
V = 37.03 Å³/atom
energy = -2.2400 eV per atom

```
&SYSTEM
  ibrav = 0, nat = 3, ntyp = 3
/
ATOMIC_SPECIES
Rb 85.47 Rb.upf
Ni 58.69 Ni.upf
Sb 121.76 Sb.upf
ATOMIC_POSITIONS angstrom
Rb 0.000 0.000 0.000
Ni 5.723 5.723 5.723
Sb 1.908 1.908 1.908
CELL_PARAMETERS angstrom
0.000 3.815 3.815
3.815 0.000 3.815
3.815 3.815 0.000
```

=====

# PaP

An optimized crystal structure of PaP (PBE-GGA, the Open Quantum Materials Database). Values from VASP.

Output
V = 22.19 Å³/atom
energy = -8.4107 eV per atom

```
&SYSTEM
  ibrav = 0, nat = 2, ntyp = 2
/
ATOMIC_SPECIES
Pa 231.04 Pa.upf
P 30.97 P.upf
ATOMIC_POSITIONS angstrom
Pa 0.000 0.000 0.000
P 0.000 2.144 1.858
CELL_PARAMETERS angstrom
3.714 0.000 0.000
-1.857 3.216 0.000
0.000 0.000 3.716
```

=====

# TlCuTe2PdS

An optimized crystal structure of TlCuTe2PdS (PBE-GGA, the Open Quantum Materials Database). Values from VASP.

Output
V = 24.27 Å³/atom
energy = -3.7651 eV per atom

```
&SYSTEM
  ibrav = 0, nat = 12, ntyp = 5
/
ATOMIC_SPECIES
Tl 204.38 Tl.upf
Cu 63.55 Cu.upf
Te 127.60 Te.upf
Pd 106.42 Pd.upf
S 32.06 S.upf
ATOMIC_POSITIONS angstrom
Tl 1.951 3.924 7.529
Tl 1.951 -3.924 2.510
Cu 1.951 7.119 2.510
Cu 1.951 -7.119 7.529
Te 1.951 5.558 0.407
Te 1.951 5.558 4.613
Te 1.951 -5.558 5.427
Te 1.951 -5.558 9.632
Pd 1.951 0.000 0.000
Pd 1.951 0.000 5.020
S 1.951 0.833 2.510
S 1.951 -0.833 7.529
CELL_PARAMETERS angstrom
1.951 -7.436 0.000
1.951 7.436 0.000
0.000 0.000 10.039
```

=====

# Ho2TeC2

An optimized crystal structure of Ho2TeC2 (PBE-GGA, the Open Quantum Materials Database). Values from VASP.

Output
V = 19.81 Å³/atom
energy = -6.8721 eV per atom

```
&SYSTEM
  ibrav = 0, nat = 10, ntyp = 3
/
ATOMIC_SPECIES
Ho 164.93 Ho.upf
Te 127.60 Te.upf
C 12.01 C.upf
ATOMIC_POSITIONS angstrom
Ho 3.645 1.327 5.891
Ho 8.274 1.327 4.374
Ho 4.358 -1.327 2.470
Ho 8.988 -1.327 0.952
Te 6.673 0.832 1.711
Te 5.959 -0.832 5.133
C 3.137 0.517 3.167
C 2.423 -0.517 6.588
C 10.209 0.517 0.255
C 9.495 -0.517 3.677
CELL_PARAMETERS angstrom
7.029 -2.059 0.000
7.029 2.059 0.000
-1.426 0.000 6.844
```

=====

# NdBeO3

An optimized crystal structure of NdBeO3 (PBE-GGA, the Open Quantum Materials Database). Values from VASP.

Output
V = 9.45 Å³/atom
energy = -7.1221 eV per atom

```
&SYSTEM
  ibrav = 0, nat = 5, ntyp = 3
/
ATOMIC_SPECIES
Nd 144.24 Nd.upf
Be 9.01 Be.upf
O 16.00 O.upf
ATOMIC_POSITIONS angstrom
Nd 0.000 0.000 0.000
Be 1.794 1.794 1.835
O 0.000 1.794 1.835
O 1.794 0.000 1.835
O 1.794 1.794 0.000
CELL_PARAMETERS angstrom
3.589 0.000 0.000
0.000 3.589 0.000
0.000 0.000 3.670
```

=====

# DyHo2Fe7Ni2

An optimized crystal structure of DyHo2Fe7Ni2 (PBE-GGA, the Open Quantum Materials Database). Values from VASP.

Output
V = 14.65 Å³/atom
energy = -7.0606 eV per atom
energy relative to the elements = -0.14 eV per atom

```
&SYSTEM
  ibrav = 0, nat = 12, ntyp = 4
/
ATOMIC_SPECIES
Dy 162.50 Dy.upf
Ho 164.93 Ho.upf
Fe 55.84 Fe.upf
Ni 58.69 Ni.upf
ATOMIC_POSITIONS angstrom
Dy 0.000 0.000 0.000
Ho 0.000 0.000 3.485
Ho 0.000 0.000 21.131
Fe -1.242 -0.717 10.231
Fe 0.000 -1.434 14.385
Fe -1.242 0.717 14.385
Fe 0.000 0.000 12.308
Fe 1.242 -0.717 10.231
Fe 0.000 1.434 10.231
Fe 1.242 0.717 14.385
Ni 0.000 0.000 8.188
Ni 0.000 0.000 16.429
CELL_PARAMETERS angstrom
2.487 1.436 8.205
-2.487 1.436 8.205
0.000 -2.872 8.205
```

=====

# Nd5SmIn2

An optimized crystal structure of Nd5SmIn2 (PBE-GGA, the Open Quantum Materials Database). Values from VASP.

Output
V = 30.76 Å³/atom
energy = -4.5316 eV per atom

```
&SYSTEM
  ibrav = 0, nat = 16, ntyp = 3
/
ATOMIC_SPECIES
Nd 144.24 Nd.upf
Sm 150.36 Sm.upf
In 114.82 In.upf
ATOMIC_POSITIONS angstrom
Nd 0.000 0.000 0.000
Nd 0.014 3.527 0.000
Nd 1.755 12.316 2.485
Nd 1.763 5.281 2.485
Nd 3.504 10.562 0.000
Nd 3.518 7.036 0.000
Nd 3.532 3.509 0.000
Nd 5.273 8.790 2.485
Nd 5.281 1.755 2.485
Nd 7.023 10.544 0.000
Sm 0.000 7.036 0.000
Sm 3.518 0.000 0.000
In 1.743 8.783 2.485
In 1.775 1.748 2.485
In 5.261 12.323 2.485
In 5.293 5.288 2.485
CELL_PARAMETERS angstrom
7.036 0.000 0.000
0.000 14.071 0.000
0.000 0.000 4.971
```